[1]
Entry from Alexandria via LeMat-Bulk: a relaxed structure of Pb5S4I (PBE-GGA).

Values from the calculation:
ΔE_f (raw) in eV per formula unit: -4.49
ρ in g/cm³: 7.3
Final energy in eV per atom: -4.110
Space group: C2/m

a b c (Å): 4.1887 7.4519 10.0513
angles (deg): 80.44 77.97 73.68
Sites, in units of the cell vectors:
1 Pb 0.2095 0.9075 0.6735
2 Pb 0.7905 0.0925 0.3265
3 Pb 0.3830 0.3597 0.8743
4 Pb 0.0000 0.5000 0.5000
5 Pb 0.6170 0.6403 0.1257
6 S 0.5959 0.2052 0.6030
7 S 0.2011 0.3837 0.2141
8 S 0.7989 0.6163 0.7859
9 S 0.4041 0.7948 0.3970
10 I 0.0000 0.0000 0.0000

[2]
Entry from Alexandria via LeMat-Bulk: a relaxed structure of SbPb2S2I3 (PBE-GGA).

Values from the calculation:
ΔE_f (raw) in eV per formula unit: -3.85
ρ in g/cm³: 5.7
Final energy in eV per atom: -3.537
Space group: Cmc2_1
Energy above the most stable polymorph in this dataset in eV per formula unit: 0.077

a b c (Å): 8.0246 8.0246 17.0440
angles (deg): 90.00 90.00 148.61
Sites, in units of the cell vectors:
1 Sb 0.6302 0.3698 0.0106
2 Sb 0.3698 0.6302 0.5106
3 Pb 0.2813 0.7187 0.2267
4 Pb 0.7187 0.2813 0.7267
5 Pb 0.3488 0.6512 0.9714
6 Pb 0.6512 0.3488 0.4714
7 S 0.7461 0.2539 0.9126
8 S 0.2056 0.7944 0.0748
9 S 0.7944 0.2056 0.5748
10 S 0.2539 0.7461 0.4126
11 I 0.6363 0.3637 0.2576
12 I 0.3637 0.6363 0.7576
13 I 0.9085 0.0915 0.1260
14 I 0.0352 0.9648 0.9001
15 I 0.9648 0.0352 0.4001
16 I 0.0915 0.9085 0.6260

[3]
Entry from Alexandria via LeMat-Bulk: a relaxed structure of SbPb2S2I3 (PBE-GGA).

Values from the calculation:
ΔE_f (raw) in eV per formula unit: -3.93
ρ in g/cm³: 5.9
Final energy in eV per atom: -3.547
Space group: P2_1/c
Energy above the most stable polymorph in this dataset in eV per formula unit: 0.000

a b c (Å): 16.9424 7.7390 8.7721
angles (deg): 73.39 90.00 90.00
Sites, in units of the cell vectors:
1 Sb 0.9851 0.2994 0.6742
2 Sb 0.4851 0.7006 0.8258
3 Sb 0.5149 0.2994 0.1742
4 Sb 0.0149 0.7006 0.3258
5 Pb 0.4736 0.7556 0.3041
6 Pb 0.7259 0.6052 0.3322
7 Pb 0.5264 0.2444 0.6959
8 Pb 0.0264 0.7556 0.8041
9 Pb 0.2259 0.3948 0.1678
10 Pb 0.2741 0.3948 0.6678
11 Pb 0.9736 0.2444 0.1959
12 Pb 0.7741 0.6052 0.8322
13 S 0.4267 0.5453 0.6334
14 S 0.9139 0.4593 0.4100
15 S 0.9267 0.4547 0.8666
16 S 0.0861 0.5407 0.5900
17 S 0.4139 0.5407 0.0900
18 S 0.5733 0.4547 0.3666
19 S 0.5861 0.4593 0.9100
20 S 0.0733 0.5453 0.1334
21 I 0.8827 0.8601 0.0334
22 I 0.3828 0.1016 0.9657
23 I 0.1172 0.1016 0.4657
24 I 0.7396 0.3041 0.6661
25 I 0.1173 0.1399 0.9666
26 I 0.6172 0.8984 0.0343
27 I 0.2396 0.6959 0.8339
28 I 0.8828 0.8984 0.5343
29 I 0.6173 0.8601 0.5334
30 I 0.3827 0.1399 0.4666
31 I 0.7604 0.3041 0.1661
32 I 0.2604 0.6959 0.3339

[4]
Entry from Alexandria via LeMat-Bulk: a relaxed structure of SnPbS2I (PBE-GGA).

Values from the calculation:
ΔE_f (raw) in eV per formula unit: 3.16
ρ in g/cm³: 5.5
Final energy in eV per atom: -2.871
Space group: P4/mmm

a b c (Å): 5.1256 5.9585 5.1256
angles (deg): 90.00 90.00 90.00
Sites, in units of the cell vectors:
1 Pb 0.5000 0.5000 0.5000
2 I 0.0000 0.0000 0.0000
3 S 0.0000 0.0000 0.5000
4 S 0.5000 0.0000 0.0000
5 Sn 0.0000 0.5000 0.0000

[5]
Entry from Alexandria via LeMat-Bulk: a relaxed structure of SrPbSI2 (PBE-GGA).

Values from the calculation:
ΔE_f (raw) in eV per formula unit: -5.73
ρ in g/cm³: 5.2
Final energy in eV per atom: -3.669
Space group: Cmcm

a b c (Å): 4.6432 7.8449 10.6196
angles (deg): 90.00 90.00 107.21
Sites, in units of the cell vectors:
1 Sr 0.3032 0.6064 0.7500
2 Sr 0.6968 0.3936 0.2500
3 Pb 0.0000 0.0000 0.5000
4 Pb 0.0000 0.0000 0.0000
5 S 0.9165 0.8330 0.7500
6 S 0.0835 0.1670 0.2500
7 I 0.6496 0.2993 0.5662
8 I 0.3504 0.7007 0.4338
9 I 0.3504 0.7007 0.0662
10 I 0.6496 0.2993 0.9338

[6]
Entry from Alexandria via LeMat-Bulk: a relaxed structure of TaPbS2I (PBE-GGA).

Values from the calculation:
ΔE_f (raw) in eV per formula unit: -1.67
ρ in g/cm³: 6.9
Final energy in eV per atom: -5.407
Space group: P4/mmm

a b c (Å): 4.7218 6.2448 4.7218
angles (deg): 90.00 90.00 90.00
Sites, in units of the cell vectors:
1 Pb 0.0000 0.5000 0.0000
2 I 0.5000 0.5000 0.5000
3 S 0.0000 0.0000 0.5000
4 S 0.5000 0.0000 0.0000
5 Ta 0.0000 0.0000 0.0000

[7]
Entry from Alexandria via LeMat-Bulk: a relaxed structure of TePbSI2 (PBE-GGA).

Values from the calculation:
ΔE_f (raw) in eV per formula unit: 2.95
ρ in g/cm³: 4.4
Final energy in eV per atom: -2.225
Space group: P4/mmm
Energy above the most stable polymorph in this dataset in eV per formula unit: 1.964

a b c (Å): 6.1997 6.1997 6.1260
angles (deg): 90.00 90.00 90.00
Each line ends with the local moment (μB).
Sites, in units of the cell vectors:
1 Pb 0.0000 0.0000 0.0000  0.00
2 I 0.0000 0.5000 0.0000  0.15
3 I 0.5000 0.0000 0.0000  0.15
4 S 0.5000 0.5000 0.5000  1.16
5 Te 0.0000 0.0000 0.5000  0.65

[8]
Entry from Alexandria via LeMat-Bulk: a relaxed structure of TePbSI2 (PBE-GGA).

Values from the calculation:
ΔE_f (raw) in eV per formula unit: 0.99
ρ in g/cm³: 5.8
Final energy in eV per atom: -2.618
Space group: P4/mmm
Energy above the most stable polymorph in this dataset in eV per formula unit: 0.000

a b c (Å): 5.6570 5.6570 5.5253
angles (deg): 90.00 90.00 90.00
Sites, in units of the cell vectors:
1 Pb 0.5000 0.5000 0.5000
2 I 0.0000 0.5000 0.0000
3 I 0.5000 0.0000 0.0000
4 S 0.0000 0.0000 0.0000
5 Te 0.0000 0.0000 0.5000

[9]
Entry from Alexandria via LeMat-Bulk: a relaxed structure of UPb2S4I (PBE-GGA).

Values from the calculation:
ΔE_f (raw) in eV per formula unit: -6.77
ρ in g/cm³: 6.1
Final energy in eV per atom: -5.442
Space group: C2/m

a b c (Å): 4.0831 6.8731 9.5320
angles (deg): 76.73 77.63 72.72
Each line ends with the local moment (μB).
Sites, in units of the cell vectors:
1 U 0.0000 0.0000 0.0000  1.20
2 Pb 0.7964 0.6568 0.7503  0.00
3 Pb 0.2036 0.3432 0.2497  0.00
4 S 0.1556 0.9565 0.7323  -0.04
5 S 0.3917 0.2679 0.9486  -0.04
6 S 0.8444 0.0435 0.2677  -0.04
7 S 0.6083 0.7321 0.0514  -0.04
8 I 0.5000 0.5000 0.5000  -0.01

[10]
Entry from Alexandria via LeMat-Bulk: a relaxed structure of Sb2Pb2I (PBE-GGA).

Values from the calculation:
ΔE_f (raw) in eV per formula unit: 0.11
ρ in g/cm³: 7.5
Final energy in eV per atom: -3.421
Space group: P4/mbm
Energy above the most stable polymorph in this dataset in eV per formula unit: 0.815

a b c (Å): 9.2294 9.2294 4.0938
angles (deg): 90.00 90.00 90.00
Sites, in units of the cell vectors:
1 Pb 0.3412 0.8412 0.0000
2 Pb 0.8412 0.6588 0.0000
3 Pb 0.6588 0.1588 0.0000
4 Pb 0.1588 0.3412 0.0000
5 I 0.0000 0.0000 0.0000
6 I 0.5000 0.5000 0.0000
7 Sb 0.1133 0.6133 0.5000
8 Sb 0.6133 0.8867 0.5000
9 Sb 0.8867 0.3867 0.5000
10 Sb 0.3867 0.1133 0.5000

[11]
Entry from Alexandria via LeMat-Bulk: a relaxed structure of SbPb3I3 (PBE-GGA).

Values from the calculation:
ΔE_f (raw) in eV per formula unit: -2.99
ρ in g/cm³: 6.4
Final energy in eV per atom: -3.269
Space group: P2_1/m

a b c (Å): 4.6606 9.4893 13.2853
angles (deg): 91.35 90.00 90.00
Sites, in units of the cell vectors:
1 Sb 0.2500 0.8708 0.3732
2 Sb 0.7500 0.1292 0.6268
3 Pb 0.2500 0.3547 0.6259
4 Pb 0.7500 0.6453 0.3741
5 Pb 0.2500 0.9043 0.6108
6 Pb 0.7500 0.0957 0.3892
7 Pb 0.2500 0.8706 0.1348
8 Pb 0.7500 0.1294 0.8652
9 I 0.2500 0.3695 0.3779
10 I 0.7500 0.6305 0.6221
11 I 0.2500 0.8853 0.8717
12 I 0.7500 0.1147 0.1283
13 I 0.2500 0.3710 0.8721
14 I 0.7500 0.6290 0.1279

[12]
Entry from Alexandria via LeMat-Bulk: a relaxed structure of SbPb2I (PBE-GGA).

Values from the calculation:
ΔE_f (raw) in eV per formula unit: -0.52
ρ in g/cm³: 8.3
Final energy in eV per atom: -3.401
Space group: P4/mmm
Energy above the most stable polymorph in this dataset in eV per formula unit: 0.521

a b c (Å): 3.9531 3.9531 8.4583
angles (deg): 90.00 90.00 90.00
Sites, in units of the cell vectors:
1 Pb 0.0000 0.0000 0.7795
2 Pb 0.0000 0.0000 0.2205
3 I 0.5000 0.5000 0.5000
4 Sb 0.5000 0.5000 0.0000

[13]
Entry from Alexandria via LeMat-Bulk: a relaxed structure of SbPbI6 (PBE-GGA).

Values from the calculation:
ΔE_f (raw) in eV per formula unit: -2.30
ρ in g/cm³: 5.2
Final energy in eV per atom: -2.429
Space group: P-1

a b c (Å): 7.5485 7.5557 8.2852
angles (deg): 62.90 62.85 59.96
Sites, in units of the cell vectors:
1 Sb 0.0000 0.0000 0.0000
2 Pb 0.5000 0.5000 0.5000
3 I 0.0540 0.4194 0.7582
4 I 0.7682 0.0542 0.7580
5 I 0.5799 0.2321 0.2419
6 I 0.2318 0.9458 0.2420
7 I 0.9460 0.5806 0.2418
8 I 0.4201 0.7679 0.7581

[14]
Entry from Alexandria via LeMat-Bulk: a relaxed structure of SbPb2I (PBE-GGA).

Values from the calculation:
ΔE_f (raw) in eV per formula unit: -0.19
ρ in g/cm³: 8.5
Final energy in eV per atom: -3.321
Space group: Fm-3m
Energy above the most stable polymorph in this dataset in eV per formula unit: 0.843

a b c (Å): 5.6715 5.6715 5.6715
angles (deg): 60.00 60.00 60.00
Sites, in units of the cell vectors:
1 Pb 0.2500 0.2500 0.2500
2 Pb 0.7500 0.7500 0.7500
3 I 0.5000 0.5000 0.5000
4 Sb 0.0000 0.0000 0.0000

[15]
Entry from Alexandria via LeMat-Bulk: a relaxed structure of SbPb2I (PBE-GGA).

Values from the calculation:
ΔE_f (raw) in eV per formula unit: -0.93
ρ in g/cm³: 7.3
Final energy in eV per atom: -3.504
Space group: R3m
Energy above the most stable polymorph in this dataset in eV per formula unit: 0.112

a b c (Å): 4.6010 4.6010 8.6690
angles (deg): 74.61 74.61 60.00
Sites, in units of the cell vectors:
1 Sb 0.6676 0.6676 0.9972
2 Pb 0.0730 0.0730 0.7809
3 Pb 0.2685 0.2685 0.1944
4 I 0.4909 0.4909 0.5274

[16]
Entry from Alexandria via LeMat-Bulk: a relaxed structure of SbPb2I (PBE-GGA).

Values from the calculation:
ΔE_f (raw) in eV per formula unit: -0.06
ρ in g/cm³: 6.5
Final energy in eV per atom: -3.288
Space group: I-42d
Energy above the most stable polymorph in this dataset in eV per formula unit: 0.976

a b c (Å): 8.4337 8.4337 7.6320
angles (deg): 56.46 56.46 90.00
Sites, in units of the cell vectors:
1 Pb 0.5927 0.1250 0.2500
2 Pb 0.1573 0.6250 0.2500
3 Pb 0.3750 0.4073 0.7500
4 Pb 0.8750 0.8427 0.7500
5 I 0.0000 0.0000 0.0000
6 I 0.7500 0.2500 0.5000
7 Sb 0.5000 0.5000 0.0000
8 Sb 0.2500 0.7500 0.5000

[17]
Entry from Alexandria via LeMat-Bulk: a relaxed structure of Sb2Pb2I (PBE-GGA).

Values from the calculation:
ΔE_f (raw) in eV per formula unit: 0.21
ρ in g/cm³: 7.6
Final energy in eV per atom: -3.401
Space group: P4/mbm
Energy above the most stable polymorph in this dataset in eV per formula unit: 0.917

a b c (Å): 9.1428 9.1428 4.1256
angles (deg): 90.00 90.00 90.00
Sites, in units of the cell vectors:
1 Pb 0.1543 0.6543 0.5000
2 Pb 0.6543 0.8457 0.5000
3 Pb 0.8457 0.3457 0.5000
4 Pb 0.3457 0.1543 0.5000
5 I 0.0000 0.0000 0.0000
6 I 0.5000 0.5000 0.0000
7 Sb 0.3836 0.8836 0.0000
8 Sb 0.8836 0.6164 0.0000
9 Sb 0.6164 0.1164 0.0000
10 Sb 0.1164 0.3836 0.0000

[18]
Entry from Alexandria via LeMat-Bulk: a relaxed structure of Sb3PbI (PBE-GGA).

Values from the calculation:
ΔE_f (raw) in eV per formula unit: 4.27
ρ in g/cm³: 5.8
Final energy in eV per atom: -2.671
Space group: Pm-3m
Energy above the most stable polymorph in this dataset in eV per formula unit: 0.000

a b c (Å): 5.8513 5.8513 5.8513
angles (deg): 90.00 90.00 90.00
Sites, in units of the cell vectors:
1 Pb 0.0000 0.0000 0.0000
2 I 0.5000 0.5000 0.5000
3 Sb 0.0000 0.5000 0.0000
4 Sb 0.0000 0.0000 0.5000
5 Sb 0.5000 0.0000 0.0000

[19]
Entry from Alexandria via LeMat-Bulk: a relaxed structure of SbPb2I (PBE-GGA).

Values from the calculation:
ΔE_f (raw) in eV per formula unit: -0.18
ρ in g/cm³: 8.5
Final energy in eV per atom: -3.318
Space group: P4/mmm
Energy above the most stable polymorph in this dataset in eV per formula unit: 0.854

a b c (Å): 3.6803 5.9179 5.9179
angles (deg): 90.00 90.00 90.00
Sites, in units of the cell vectors:
1 Pb 0.0000 0.0000 0.5000
2 Pb 0.0000 0.5000 0.0000
3 I 0.5000 0.0000 0.0000
4 Sb 0.5000 0.5000 0.5000

[20]
Entry from Alexandria via LeMat-Bulk: a relaxed structure of Sb2Pb2I (PBE-GGA).

Values from the calculation:
ΔE_f (raw) in eV per formula unit: -0.71
ρ in g/cm³: 7.4
Final energy in eV per atom: -3.584
Space group: I4/mmm
Energy above the most stable polymorph in this dataset in eV per formula unit: 0.000

a b c (Å): 4.6426 4.6426 8.8046
angles (deg): 74.71 74.71 90.00
Sites, in units of the cell vectors:
1 Pb 0.3856 0.3856 0.2287
2 Pb 0.6144 0.6144 0.7713
3 I 0.0000 0.0000 0.0000
4 Sb 0.7500 0.2500 0.5000
5 Sb 0.2500 0.7500 0.5000